[1]
First-principles (PBE-GGA) data for a relaxed SmTh3S4 crystal, as listed in Alexandria.

Geometry as POSCAR:
```
SmTh3S4
1.0
5.704 0.000 0.000
0.000 5.704 0.000
0.000 0.000 5.704
Sm Th S
1 3 4
Cartesian
0.000 0.000 0.000
2.852 2.852 0.000
0.000 2.852 2.852
2.852 0.000 2.852
0.000 0.000 2.852
0.000 2.852 0.000
2.852 2.852 2.852
2.852 0.000 0.000
```

## Properties
The formation energy (no corrections) is -1.897 eV per atom. The symmetry is No. 221. Its density of states at the Fermi level is 3.4 states/eV per cell. The magnetization is 0.00 μB/atom. Its calculated total energy is -7.333 eV/atom.

[2]
First-principles (PBE-GGA) data for a relaxed Ba2CdRu crystal, as listed in Alexandria.

Geometry as POSCAR:
```
Ba2CdRu
1.0
-0.735 2.203 -3.030
0.685 -2.961 -2.311
-8.455 -2.269 0.402
Ru Ba Cd
1 2 1
Cartesian
-6.366 -2.081 -2.369
-8.107 -2.176 0.385
-4.575 -1.228 0.217
-2.139 -0.946 -2.570
```

## Properties
The symmetry is No. 65. Its density of states at the Fermi level is 3.0 states/eV per cell. The magnetization is 0.00 μB/atom. The formation energy is 0.25 eV/atom. Its calculated total energy is -3.257 eV/atom.

[3]
First-principles (PBE-GGA) data for a relaxed Zr3TaTi2N6 crystal, as listed in Alexandria.

Geometry as POSCAR:
```
Zr3TaTi2N6
1.0
5.467 -0.002 -0.005
-2.734 4.734 -0.005
-0.916 -1.586 5.172
Ti Zr N Ta
2 3 6 1
Cartesian
0.003 3.153 -0.005
2.729 1.579 -0.005
3.629 0.001 2.581
-1.812 3.144 2.581
0.908 1.573 2.581
0.002 0.003 3.967
-0.918 1.585 1.191
1.832 -0.003 1.191
1.815 3.142 1.195
-0.015 3.149 3.970
2.735 1.560 3.970
0.000 0.000 0.000
```

## Properties
The formation energy (no corrections) is -1.552 eV per atom. The symmetry is No. 12. Its density of states at the Fermi level is 3.2 states/eV per cell. The magnetization is 0.00 μB/atom. Its calculated total energy is -10.155 eV/atom.

[4]
First-principles (PBE-GGA) data for a relaxed SmHo2Zn2 crystal, as listed in Alexandria.

Geometry as POSCAR:
```
SmHo2Zn2
1.0
-1.000 -3.016 4.183
3.866 -4.322 -2.192
6.302 4.792 1.663
Sm Ho Zn
2 4 4
Cartesian
6.399 0.980 2.237
3.972 -4.873 0.735
7.732 -1.765 3.874
3.547 -0.190 4.009
1.476 -0.827 -0.243
4.843 -1.487 0.086
3.116 0.842 1.352
2.553 -2.472 2.127
7.878 -1.488 0.811
5.213 -2.451 2.777
```

## Properties
The value obtained for the distance to the lowest polymorph of the same formula is 66 meV per atom. The symmetry is No. 36. Its density of states at the Fermi level is 9.4 states/eV per cell. The magnetization is 0.00 μB/atom. The formation energy is -0.20 eV/atom. Its calculated total energy is -3.480 eV/atom.

[5]
First-principles (PBE-GGA) data for a relaxed La5SmDy4 crystal, as listed in Alexandria.

Geometry as POSCAR:
```
La5SmDy4
1.0
-3.601 -0.846 0.090
0.848 -3.544 0.644
-0.418 4.411 24.817
La Dy Sm
5 4 1
Cartesian
-1.586 0.011 12.775
-1.752 1.766 22.654
-1.419 -1.745 2.897
-1.669 0.887 17.708
-1.503 -0.866 7.843
-0.084 0.891 5.011
-0.168 1.767 9.942
-0.251 2.644 14.875
-0.334 3.520 19.807
0.000 0.000 0.000
```

## Properties
The symmetry is No. 123. Its density of states at the Fermi level is 16.5 states/eV per cell. The magnetization is 0.00 μB/atom. The formation energy is 0.02 eV/atom. Its calculated total energy is -4.754 eV/atom.

[6]
First-principles (PBE-GGA) data for a relaxed KTaIr crystal, as listed in Alexandria.

Geometry as POSCAR:
```
KTaIr
1.0
7.410 0.010 -0.010
5.887 4.500 0.010
-6.500 -2.694 2.325
Ir Ta K
1 1 1
Cartesian
0.521 0.177 0.000
8.167 2.770 0.000
4.609 1.563 0.000
```

## Properties
The value obtained for the distance to the lowest polymorph of the same formula is 0 meV per atom. The symmetry is No. 44. Its density of states at the Fermi level is 3.3 states/eV per cell. The magnetization is 0.00 μB/atom. The formation energy is 0.37 eV/atom. Its calculated total energy is -6.904 eV/atom.

Which formula does entry 2 have?
Ba2CdRu

Repeat the first record exactly.
First-principles (PBE-GGA) data for a relaxed SmTh3S4 crystal, as listed in Alexandria.

Geometry as POSCAR:
```
SmTh3S4
1.0
5.704 0.000 0.000
0.000 5.704 0.000
0.000 0.000 5.704
Sm Th S
1 3 4
Cartesian
0.000 0.000 0.000
2.852 2.852 0.000
0.000 2.852 2.852
2.852 0.000 2.852
0.000 0.000 2.852
0.000 2.852 0.000
2.852 2.852 2.852
2.852 0.000 0.000
```

## Properties
The formation energy (no corrections) is -1.897 eV per atom. The symmetry is No. 221. Its density of states at the Fermi level is 3.4 states/eV per cell. The magnetization is 0.00 μB/atom. Its calculated total energy is -7.333 eV/atom.